Entry from the Alexandria database: an optimized crystal structure of AgTe2Br (PBE).

```
AgTe2Br
1.0
-2.5415 -4.0868 -3.6555
3.9976 1.7655 -4.1744
-0.2508 -3.0036 5.2383
Br Te Ag
1 2 1
Direct
0.2828 0.7828 0.5000
0.7395 0.2395 0.5000
0.9851 0.9851 0.0000
0.4927 0.4927 0.0000
```

Results
DFT total energy: -10.512 eV per cell
formation energy without anion corrections: 0.074 eV/atom
total moment: 0.00 μB per formula unit